Record 1
Material: TlC
Method: DFT, PBE
State: relaxed

Calculated values
DFT formation energy, eV/atom: 1.321
Calculated volume, Å³/cell: 246.25
Theoretical density, g/cm3: 8.76
ΔE to the lowest computed polymorph, eV/f.u.: 1.07

The structure in CIF format:
```
data_TlC
_cell_length_a 7.092
_cell_length_b 2.744
_cell_length_c 12.867
_cell_angle_alpha 90.00
_cell_angle_beta 100.47
_cell_angle_gamma 90.00
_symmetry_space_group_name_H-M 'C 1 m 1'
_symmetry_Int_Tables_number 8
_symmetry_space_group_name_Hall 'C -2y'
loop_
_atom_site_label
_atom_site_type_symbol
_atom_site_fract_x
_atom_site_fract_y
_atom_site_fract_z
Tl1 Tl 0.000 0.000 0.000
Tl2 Tl 0.045 0.500 0.256
Tl3 Tl 0.337 0.000 0.502
C1 C 0.159 0.000 0.719
C2 C 0.159 0.500 0.719
C3 C 0.279 0.500 0.137
```

***

Record 2
Material: La3Dy2Tm6Pu
Method: DFT, PBE
State: relaxed

Calculated values
DFT formation energy, eV/atom: 0.045
Calculated volume, Å³/cell: 754.12
Theoretical density, g/cm3: 8.80

The structure in CIF format:
```
data_La3Dy2Tm6Pu
_cell_length_a 6.158
_cell_length_b 10.668
_cell_length_c 11.661
_cell_angle_alpha 90.00
_cell_angle_beta 100.15
_cell_angle_gamma 90.00
_symmetry_space_group_name_H-M 'C 1 2/m 1'
_symmetry_Int_Tables_number 12
_symmetry_space_group_name_Hall '-C 2y'
loop_
_atom_site_label
_atom_site_type_symbol
_atom_site_fract_x
_atom_site_fract_y
_atom_site_fract_z
La1 La 0.000 0.000 0.000
La2 La 0.000 0.333 0.000
Dy1 Dy 0.000 0.167 0.500
Tm1 Tm 0.245 0.336 0.743
Tm2 Tm 0.248 0.500 0.257
Pu1 Pu 0.000 0.500 0.500
```

***

Record 3
Material: Pu2CuCl8
Method: DFT, PBE
State: relaxed

Calculated values
Calculated volume, Å³/cell: 563.30
Theoretical density, g/cm3: 4.92
ΔE to the lowest computed polymorph, eV/f.u.: 0.00
Energy relative to the elements, uncorrected, eV/f.u.: -15.9

The structure in CIF format:
```
data_Pu2CuCl8
_cell_length_a 8.382
_cell_length_b 11.532
_cell_length_c 6.047
_cell_angle_alpha 90.00
_cell_angle_beta 105.49
_cell_angle_gamma 90.00
_symmetry_space_group_name_H-M 'C 1 2/m 1'
_symmetry_Int_Tables_number 12
_symmetry_space_group_name_Hall '-C 2y'
loop_
_atom_site_label
_atom_site_type_symbol
_atom_site_fract_x
_atom_site_fract_y
_atom_site_fract_z
Pu1 Pu 0.000 0.188 0.000
Cu1 Cu 0.000 0.500 0.500
Cl1 Cl 0.000 0.312 0.500
Cl2 Cl 0.113 0.000 0.278
Cl3 Cl 0.221 0.363 0.133
```

***

Record 4
Material: Al2HPb
Method: DFT, PBE
State: relaxed

Calculated values
Calculated volume, Å³/cell: 308.29
Theoretical density, g/cm3: 5.65
ΔE to the lowest computed polymorph, eV/f.u.: 0.00

The structure in CIF format:
```
data_Al2HPb
_cell_length_a 5.162
_cell_length_b 5.162
_cell_length_c 11.572
_cell_angle_alpha 90.00
_cell_angle_beta 90.00
_cell_angle_gamma 90.00
_symmetry_space_group_name_H-M 'I -4 2 d'
_symmetry_Int_Tables_number 122
_symmetry_space_group_name_Hall 'I -4 2bw'
loop_
_atom_site_label
_atom_site_type_symbol
_atom_site_fract_x
_atom_site_fract_y
_atom_site_fract_z
Al1 Al 0.041 0.750 0.125
H1 H 0.000 0.000 0.000
Pb1 Pb 0.000 0.000 0.500
```

***

Record 5
Material: YPN2F
Method: DFT, PBE
State: relaxed

Calculated values
Calculated volume, Å³/cell: 55.04
Theoretical density, g/cm3: 5.03
ΔE to the lowest computed polymorph, eV/f.u.: 0.00
Energy relative to the elements, uncorrected, eV/f.u.: -3.6

The structure in CIF format:
```
data_YPN2F
_cell_length_a 3.765
_cell_length_b 3.765
_cell_length_c 3.883
_cell_angle_alpha 90.00
_cell_angle_beta 90.00
_cell_angle_gamma 90.00
_symmetry_space_group_name_H-M 'P 4/m m m'
_symmetry_Int_Tables_number 123
_symmetry_space_group_name_Hall '-P 4 2'
loop_
_atom_site_label
_atom_site_type_symbol
_atom_site_fract_x
_atom_site_fract_y
_atom_site_fract_z
Y1 Y 0.000 0.000 0.000
P1 P 0.500 0.500 0.500
N1 N 0.000 0.500 0.500
F1 F 0.500 0.500 0.000
```

***

Record 6
Material: YAl3Hg
Method: DFT, PBE
State: relaxed

Calculated values
DFT formation energy, eV/atom: 1.051
Calculated volume, Å³/cell: 186.91
Theoretical density, g/cm3: 3.29
ΔE to the lowest computed polymorph, eV/f.u.: 3.02

The structure in CIF format:
```
data_YAl3Hg
_cell_length_a 5.718
_cell_length_b 5.718
_cell_length_c 5.718
_cell_angle_alpha 90.00
_cell_angle_beta 90.00
_cell_angle_gamma 90.00
_symmetry_space_group_name_H-M 'P m -3 m'
_symmetry_Int_Tables_number 221
_symmetry_space_group_name_Hall '-P 4 2 3'
loop_
_atom_site_label
_atom_site_type_symbol
_atom_site_fract_x
_atom_site_fract_y
_atom_site_fract_z
Y1 Y 0.000 0.000 0.000
Al1 Al 0.000 0.000 0.500
Hg1 Hg 0.500 0.500 0.500
```

***

Record 7
Material: NaCdIn2
Method: DFT, PBE
State: relaxed

Calculated values
DFT formation energy, eV/atom: -0.031
Calculated volume, Å³/cell: 881.60
Theoretical density, g/cm3: 5.50

The structure in CIF format:
```
data_NaCdIn2
_cell_length_a 11.792
_cell_length_b 11.792
_cell_length_c 6.341
_cell_angle_alpha 90.00
_cell_angle_beta 90.00
_cell_angle_gamma 90.00
_symmetry_space_group_name_H-M 'P 42/m b c'
_symmetry_Int_Tables_number 135
_symmetry_space_group_name_Hall '-P 4c 2ab'
loop_
_atom_site_label
_atom_site_type_symbol
_atom_site_fract_x
_atom_site_fract_y
_atom_site_fract_z
Na1 Na 0.188 0.312 0.250
Cd1 Cd 0.044 0.812 0.000
In1 In 0.035 0.848 0.500
In2 In 0.075 0.600 0.500
```

***

Record 8
Material: TiTc2MoPt
Method: DFT, PBE
State: relaxed

Calculated values
DFT formation energy, eV/atom: 1.638
Calculated volume, Å³/cell: 103.19
Theoretical density, g/cm3: 8.61

The structure in CIF format:
```
data_TiTc2MoPt
_cell_length_a 4.735
_cell_length_b 4.735
_cell_length_c 4.603
_cell_angle_alpha 90.00
_cell_angle_beta 90.00
_cell_angle_gamma 90.00
_symmetry_space_group_name_H-M 'P 4/m m m'
_symmetry_Int_Tables_number 123
_symmetry_space_group_name_Hall '-P 4 2'
loop_
_atom_site_label
_atom_site_type_symbol
_atom_site_fract_x
_atom_site_fract_y
_atom_site_fract_z
Ti1 Ti 0.000 0.000 0.000
Tc1 Tc 0.000 0.500 0.500
Mo1 Mo 0.500 0.500 0.000
Pt1 Pt 0.000 0.000 0.500
```

***

Record 9
Material: VHRuPb2
Method: DFT, PBE
State: relaxed

Calculated values
Calculated volume, Å³/cell: 92.89
Theoretical density, g/cm3: 10.14
DFT total energy, eV per atom: -5.04

The structure in CIF format:
```
data_VHRuPb2
_cell_length_a 5.312
_cell_length_b 5.312
_cell_length_c 3.291
_cell_angle_alpha 90.00
_cell_angle_beta 90.00
_cell_angle_gamma 90.00
_symmetry_space_group_name_H-M 'P 4/m m m'
_symmetry_Int_Tables_number 123
_symmetry_space_group_name_Hall '-P 4 2'
loop_
_atom_site_label
_atom_site_type_symbol
_atom_site_fract_x
_atom_site_fract_y
_atom_site_fract_z
V1 V 0.000 0.000 0.000
H1 H 0.500 0.500 0.000
Ru1 Ru 0.500 0.500 0.500
Pb1 Pb 0.000 0.500 0.500
```

***

Record 10
Material: Ac4Mg5Rh2
Method: DFT, PBE
State: relaxed

Calculated values
DFT formation energy, eV/atom: -0.275
Calculated volume, Å³/cell: 335.76
Theoretical density, g/cm3: 6.11

The structure in CIF format:
```
data_Ac4Mg5Rh2
_cell_length_a 8.122
_cell_length_b 4.059
_cell_length_c 10.207
_cell_angle_alpha 90.00
_cell_angle_beta 93.78
_cell_angle_gamma 90.00
_symmetry_space_group_name_H-M 'P 1 2/m 1'
_symmetry_Int_Tables_number 10
_symmetry_space_group_name_Hall '-P 2y'
loop_
_atom_site_label
_atom_site_type_symbol
_atom_site_fract_x
_atom_site_fract_y
_atom_site_fract_z
Ac1 Ac 0.167 0.000 0.348
Ac2 Ac 0.217 0.000 0.949
Mg1 Mg 0.188 0.500 0.659
Mg2 Mg 0.446 0.500 0.185
Mg3 Mg 0.500 0.500 0.500
Rh1 Rh 0.072 0.500 0.147
```

***

Record 11
Material: LiZn2Sb
Method: DFT, PBE
State: relaxed

Calculated values
Calculated volume, Å³/cell: 247.25
Theoretical density, g/cm3: 5.23
Energy relative to the elements, uncorrected, eV/f.u.: 0.4

The structure in CIF format:
```
data_LiZn2Sb
_cell_length_a 3.2944
_cell_length_b 3.2944
_cell_length_c 26.3054
_cell_angle_alpha 90.00
_cell_angle_beta 90.00
_cell_angle_gamma 120.00
_symmetry_space_group_name_H-M 'R -3 m'
_symmetry_Int_Tables_number 166
_symmetry_space_group_name_Hall '-R 3 2"'
loop_
_atom_site_label
_atom_site_type_symbol
_atom_site_fract_x
_atom_site_fract_y
_atom_site_fract_z
Li1 Li 0.0000 0.0000 0.0000
Zn1 Zn 0.0000 0.0000 0.2554
Sb1 Sb 0.0000 0.0000 0.5000
```

***

Record 12
Material: ScAl2Cl
Method: DFT, PBE
State: relaxed

Calculated values
Calculated volume, Å³/cell: 157.04
Theoretical density, g/cm3: 2.84
ΔE to the lowest computed polymorph, eV/f.u.: 1.19
Energy relative to the elements, uncorrected, eV/f.u.: -0.9

The structure in CIF format:
```
data_ScAl2Cl
_cell_length_a 5.611
_cell_length_b 8.936
_cell_length_c 3.132
_cell_angle_alpha 90.00
_cell_angle_beta 90.51
_cell_angle_gamma 90.00
_symmetry_space_group_name_H-M 'C 1 2/m 1'
_symmetry_Int_Tables_number 12
_symmetry_space_group_name_Hall '-C 2y'
loop_
_atom_site_label
_atom_site_type_symbol
_atom_site_fract_x
_atom_site_fract_y
_atom_site_fract_z
Sc1 Sc 0.000 0.000 0.000
Al1 Al 0.250 0.250 0.500
Cl1 Cl 0.000 0.500 0.000
```